DFT (GGA-PBE) results for a relaxed structure of CsMgNb3.

a = 5.1005 Å, b = 5.1005 Å, c = 5.1005 Å
α = 90.00°, β = 90.00°, γ = 90.00°
Atoms (fractional coordinates):
Nb: 0.5000 0.0000 0.0000
Nb: 0.0000 0.0000 0.5000
Nb: 0.0000 0.5000 0.0000
Cs: 0.5000 0.5000 0.5000
Mg: 0.0000 0.0000 0.0000

* excess energy over the best structure of this formula in the dataset: 0 meV/atom
* energy relative to the elements: 2.187 eV per atom
* electronic total energy: -4.344 eV per atom